Model a:
Compound: LiNi2O4
Source: Alexandria
Functional: PBE with a Hubbard U
Structure: relaxed

The structure in POSCAR format:
```
LiNi2O4
1.0
5.6538 0.0000 0.0000
-2.8269 4.8963 0.0000
0.0000 0.0000 9.4315
Li Ni O
4 8 16
direct
0.0000 0.0000 0.0000
0.0000 0.0000 0.5000
0.3333 0.6667 0.1086
0.6667 0.3333 0.6086
0.1688 0.3376 0.7817
0.1688 0.8312 0.7817
0.3333 0.6667 0.5073
0.3376 0.1688 0.2817
0.6624 0.8312 0.7817
0.6667 0.3333 0.0073
0.8312 0.1688 0.2817
0.8312 0.6624 0.2817
0.0000 0.0000 0.1886
0.0000 0.0000 0.6886
0.0340 0.5170 0.6661
0.1585 0.3170 0.3909
0.1585 0.8415 0.3909
0.3170 0.1585 0.8909
0.3333 0.6667 0.8837
0.4830 0.5170 0.6661
0.4830 0.9660 0.6661
0.5170 0.0340 0.1661
0.5170 0.4830 0.1661
0.6667 0.3333 0.3837
0.6830 0.8415 0.3909
0.8415 0.1585 0.8909
0.8415 0.6830 0.8909
0.9660 0.4830 0.1661
```

Properties
Total magnetization ... 1.000 μB per formula unit
N(E_F) ... 0.1 states/eV per cell

***

Model b:
Compound: LiNi2O4
Source: Alexandria
Functional: PBE with a Hubbard U
Structure: relaxed

The structure in POSCAR format:
```
LiNi2O4
1.0
-2.8330 2.8574 4.1223
2.8330 -2.8574 4.1223
2.8330 2.8574 -4.1223
Li Ni O
2 4 8
direct
0.0000 0.0000 0.0000
0.5000 0.0000 0.5000
0.0000 0.5000 0.5000
0.5000 0.0000 0.0000
0.5000 0.5000 0.0000
0.5000 0.5000 0.5000
0.2734 0.2952 0.5218
0.2734 0.7516 0.9782
0.2804 0.2466 0.0338
0.2872 0.7534 0.5338
0.7128 0.2466 0.4662
0.7196 0.7534 0.9662
0.7266 0.2484 0.0218
0.7266 0.7048 0.4782
```

Properties
Total magnetization ... 1.000 μB per formula unit
N(E_F) ... 1.4 states/eV per cell

***

Q: What are the energies relative to the best structure? A: model a 14; model b 0, in meV/atom.

***

Model a:
Compound: LiNi2O4
Source: Alexandria
Functional: PBE with a Hubbard U
Structure: relaxed

The structure in POSCAR format:
```
LiNi2O4
1.0
8.1129 0.0000 0.0000
0.0000 8.1129 0.0000
0.0000 0.0000 8.1129
Li Ni O
8 16 32
direct
0.0047 0.0047 0.0047
0.2453 0.2453 0.2453
0.2547 0.7547 0.7453
0.4953 0.9953 0.5047
0.5047 0.4953 0.9953
0.7453 0.2547 0.7547
0.7547 0.7453 0.2547
0.9953 0.5047 0.4953
0.1160 0.1340 0.6250
0.1250 0.3840 0.8660
0.1250 0.8750 0.3750
0.1340 0.6250 0.1160
0.3660 0.3750 0.6160
0.3750 0.1250 0.8750
0.3750 0.6160 0.3660
0.3840 0.8660 0.1250
0.6160 0.3660 0.3750
0.6250 0.1160 0.1340
0.6250 0.6250 0.6250
0.6340 0.8750 0.8840
0.8660 0.1250 0.3840
0.8750 0.3750 0.1250
0.8750 0.8840 0.6340
0.8840 0.6340 0.8750
0.0960 0.1269 0.3944
0.1056 0.9040 0.6269
0.1168 0.6168 0.8832
0.1231 0.1540 0.8556
0.1269 0.3944 0.0960
0.1332 0.3668 0.6332
0.1444 0.6231 0.3460
0.1540 0.8556 0.1231
0.3460 0.1444 0.6231
0.3556 0.3769 0.8460
0.3668 0.6332 0.1332
0.3731 0.6056 0.5960
0.3769 0.8460 0.3556
0.3832 0.3832 0.3832
0.3944 0.0960 0.1269
0.4040 0.8731 0.8944
0.5960 0.3731 0.6056
0.6056 0.5960 0.3731
0.6168 0.8832 0.1168
0.6231 0.3460 0.1444
0.6269 0.1056 0.9040
0.6332 0.1332 0.3668
0.6444 0.8769 0.6540
0.6540 0.6444 0.8769
0.8460 0.3556 0.3769
0.8556 0.1231 0.1540
0.8668 0.8668 0.8668
0.8731 0.8944 0.4040
0.8769 0.6540 0.6444
0.8832 0.1168 0.6168
0.8944 0.4040 0.8731
0.9040 0.6269 0.1056
```

Properties
Total magnetization ... 1.000 μB per formula unit

***

Model b:
Compound: LiNi2O4
Source: Alexandria
Functional: PBE with a Hubbard U
Structure: relaxed

The structure in POSCAR format:
```
LiNi2O4
1.0
4.9999 0.0000 0.0000
0.0000 2.8110 0.0000
-1.6544 0.0000 4.8557
Li Ni O
1 2 4
direct
0.0000 0.0000 0.0000
0.0000 0.5000 0.5000
0.5000 0.0000 0.5000
0.2061 0.0000 0.7148
0.2562 0.5000 0.3027
0.7438 0.5000 0.6973
0.7939 0.0000 0.2852
```

Properties
Total magnetization ... 1.000 μB per formula unit
N(E_F) ... 0.2 states/eV per cell

***

Q: What are the energies relative to the best structure? A: model a 0; model b 34, in meV/atom.

***

Model a:
Compound: Li3NiO
Source: Alexandria
Functional: PBE with a Hubbard U
Structure: relaxed

The structure in POSCAR format:
```
Li3NiO
1.0
4.2303 0.0000 0.0000
0.0000 4.2303 0.0000
0.0000 0.0000 4.2303
Li Ni O
3 1 1
direct
0.0000 0.0000 0.5000
0.0000 0.5000 0.0000
0.5000 0.0000 0.0000
0.0000 0.0000 0.0000
0.5000 0.5000 0.5000
```

Properties
Total magnetization ... 0.001 μB per formula unit
N(E_F) ... 3.1 states/eV per cell

***

Model b:
Compound: Li3NiO
Source: Alexandria
Functional: PBE with a Hubbard U
Structure: relaxed

The structure in POSCAR format:
```
Li3NiO
1.0
3.8285 0.0000 0.0000
0.0000 3.8285 0.0000
0.0000 0.0000 3.8285
Li Ni O
3 1 1
direct
0.0000 0.0000 0.5000
0.0000 0.5000 0.0000
0.5000 0.0000 0.0000
0.5000 0.5000 0.5000
0.0000 0.0000 0.0000
```

Properties
Total magnetization ... 0.000 μB per formula unit
N(E_F) ... 2.4 states/eV per cell

***

Q: What are the energies relative to the best structure? A: model a 1053; model b 0, in meV/atom.

***

Model a:
Compound: LiNi3O
Source: Alexandria
Functional: PBE with a Hubbard U
Structure: relaxed

The structure in POSCAR format:
```
LiNi3O
1.0
4.0104 0.0000 0.0000
0.0000 4.0104 0.0000
0.0000 0.0000 4.0104
Li Ni O
1 3 1
direct
0.0000 0.0000 0.0000
0.0000 0.0000 0.5000
0.0000 0.5000 0.0000
0.5000 0.0000 0.0000
0.5000 0.5000 0.5000
```

Properties
Total magnetization ... 3.020 μB per formula unit
N(E_F) ... 0.6 states/eV per cell

***

Model b:
Compound: LiNi3O
Source: Alexandria
Functional: PBE with a Hubbard U
Structure: relaxed

The structure in POSCAR format:
```
LiNi3O
1.0
3.9336 0.0000 0.0000
0.0000 3.9336 0.0000
0.0000 0.0000 3.9336
Li Ni O
1 3 1
direct
0.0000 0.0000 0.0000
0.0000 0.5000 0.5000
0.5000 0.0000 0.5000
0.5000 0.5000 0.0000
0.5000 0.5000 0.5000
```

Properties
Total magnetization ... 1.684 μB per formula unit
N(E_F) ... 1.3 states/eV per cell

***

Q: What are the energies relative to the best structure? A: model a 1068; model b 0, in meV/atom.

***

Model a:
Compound: Li4Ni5O10
Source: Alexandria
Functional: PBE with a Hubbard U
Structure: relaxed

The structure in POSCAR format:
```
Li4Ni5O10
1.0
5.0699 0.0000 0.0000
-1.7424 5.5624 0.0000
-0.7500 -1.9634 6.0746
Li Ni O
4 5 10
direct
0.1010 0.1933 0.1888
0.3033 0.6134 0.6093
0.6967 0.3866 0.3907
0.8990 0.8067 0.8112
0.1049 0.7024 0.2024
0.2963 0.0969 0.5999
0.5000 0.5000 0.0000
0.7037 0.9031 0.4001
0.8951 0.2976 0.7976
0.0197 0.7612 0.4851
0.1665 0.6251 0.9092
0.1743 0.1635 0.8728
0.3756 0.0329 0.3162
0.3960 0.5804 0.2986
0.6040 0.4196 0.7014
0.6244 0.9671 0.6838
0.8257 0.8365 0.1272
0.8335 0.3749 0.0908
0.9803 0.2388 0.5149
```

Properties
Total magnetization ... 4.000 μB per formula unit

***

Model b:
Compound: Li4Ni5O10
Source: Alexandria
Functional: PBE with a Hubbard U
Structure: relaxed

The structure in POSCAR format:
```
Li4Ni5O10
1.0
5.0351 0.0000 0.0000
1.7274 4.8142 0.0000
2.4285 0.0456 7.2098
Li Ni O
4 5 10
direct
0.0000 0.0000 0.0000
0.2012 0.9984 0.5868
0.4037 0.0010 0.2038
0.6051 0.0002 0.7829
0.0989 0.5036 0.7980
0.3028 0.4991 0.3935
0.5031 0.5014 0.9923
0.6987 0.5040 0.5978
0.9020 0.4959 0.2003
0.0545 0.2764 0.3939
0.1876 0.7178 0.1801
0.2527 0.2938 0.9918
0.3627 0.7366 0.8063
0.4213 0.2905 0.6084
0.5589 0.7189 0.3938
0.6429 0.2776 0.1771
0.7528 0.7088 0.9935
0.8191 0.2734 0.8039
0.9610 0.7164 0.6087
```

Properties
Total magnetization ... 9.999 μB per formula unit

***

Q: What are the energies relative to the best structure? A: model a 0; model b 80, in meV/atom.

***

Model a:
Compound: Li3NiO3
Source: Alexandria
Functional: PBE with a Hubbard U
Structure: relaxed

The structure in POSCAR format:
```
Li3NiO3
1.0
8.8092 0.0000 0.0000
0.0000 8.8415 0.0000
0.0000 0.0000 3.5962
Li Ni O
12 4 12
direct
0.1026 0.1432 0.0000
0.1389 0.8975 0.5000
0.1677 0.3310 0.5000
0.3323 0.8310 0.0000
0.3611 0.3975 0.0000
0.3974 0.6432 0.5000
0.6026 0.3568 0.5000
0.6389 0.6025 0.0000
0.6677 0.1690 0.0000
0.8323 0.6690 0.5000
0.8611 0.1025 0.5000
0.8974 0.8568 0.0000
0.1143 0.6114 0.0000
0.3857 0.1114 0.5000
0.6143 0.8886 0.5000
0.8857 0.3886 0.0000
0.1034 0.4017 0.0000
0.1122 0.8157 0.0000
0.1749 0.1113 0.5000
0.3251 0.6113 0.0000
0.3878 0.3157 0.5000
0.3966 0.9017 0.5000
0.6034 0.0983 0.5000
0.6122 0.6843 0.5000
0.6749 0.3887 0.0000
0.8251 0.8887 0.5000
0.8878 0.1843 0.0000
0.8966 0.5983 0.0000
```

Properties
Total magnetization ... 0.964 μB per formula unit

***

Model b:
Compound: Li3NiO3
Source: Alexandria
Functional: PBE with a Hubbard U
Structure: relaxed

The structure in POSCAR format:
```
Li3NiO3
1.0
5.0493 -1.3944 0.0000
5.0493 1.3944 0.0000
-3.7732 0.0000 9.3894
Li Ni O
6 2 6
direct
0.0770 0.0770 0.2101
0.3533 0.3533 0.5772
0.3552 0.3552 0.0364
0.6448 0.6448 0.9636
0.6467 0.6467 0.4228
0.9230 0.9230 0.7899
0.1817 0.1817 0.7442
0.8183 0.8183 0.2558
0.1923 0.1923 0.1017
0.2640 0.2640 0.3725
0.4648 0.4648 0.2471
0.5352 0.5352 0.7529
0.7360 0.7360 0.6275
0.8077 0.8077 0.8983
```

Properties
Total magnetization ... 3.000 μB per formula unit

***

Q: What are the energies relative to the best structure? A: model a 0; model b 145, in meV/atom.